The following is a DFT calculation (PBE) of a relaxed structure of ThNb4Ga4.

```
ThNb4Ga4
1.0
8.4322 0.0000 0.0000
0.0000 8.4322 0.0000
0.0000 0.0000 5.0619
Th Nb Ga
2 8 8
direct
0.2500 0.2500 0.2500 Th
0.7500 0.7500 0.7500 Th
0.1201 0.8370 0.6486 Nb
0.1630 0.6201 0.1486 Nb
0.3370 0.8799 0.1486 Nb
0.3799 0.6630 0.6486 Nb
0.6201 0.3370 0.3514 Nb
0.6630 0.1201 0.8514 Nb
0.8370 0.3799 0.8514 Nb
0.8799 0.1630 0.3514 Nb
0.0093 0.1163 0.8306 Ga
0.1163 0.4907 0.6694 Ga
0.3837 0.0093 0.6694 Ga
0.4907 0.3837 0.8306 Ga
0.5093 0.6163 0.1694 Ga
0.6163 0.9907 0.3306 Ga
0.8837 0.5093 0.3306 Ga
0.9907 0.8837 0.1694 Ga
```

Properties
* DOS(E_F): 11.74 states/eV/cell
* E_tot: -6.710 eV/atom
* symmetry: P4_2/n (86)